# 1
Computed, not measured: crystalline Tb2ScTi2Rh5 at its relaxed geometry at the PBE-GGA level of DFT.

The space group is P4/mbm (No. 127) and the conventional cell measures 10.071, 10.071 and 3.577 Å, with angles of 90.00, 90.00 and 90.00 degrees. The asymmetric unit holds Tb at (0.177, 0.323, 0.000), Sc at (0.000, 0.000, 0.000), Ti at (0.122, 0.622, 0.000), Rh at (0.000, 0.500, 0.500) and Rh at (0.066, 0.792, 0.500).

The calculation puts the formation energy at -7.15 eV/f.u.

# 2
Computed, not measured: crystalline HgSb2W at its relaxed geometry at the PBE-GGA level of DFT.

The space group is P4/mmm (No. 123) and the conventional cell measures 3.326, 3.326 and 8.838 Å, with angles of 90.00, 90.00 and 90.00 degrees. The asymmetric unit holds Hg at (0.000, 0.000, 0.000), Sb at (0.500, 0.500, 0.313) and W at (0.000, 0.000, 0.500).

# 3
Computed, not measured: crystalline ScGaAu at its relaxed geometry at the PBE-GGA level of DFT.

The space group is C2/m (No. 12) and the conventional cell measures 10.148, 4.399 and 6.643 Å, with angles of 90.00, 130.58 and 90.00 degrees. The asymmetric unit holds Sc at (0.033, 0.000, 0.291), Ga at (0.159, 0.500, 0.114) and Au at (0.176, 0.500, 0.708).

The calculation puts the formation energy at -2.10 eV/f.u.

# 4
Computed, not measured: crystalline VCrPbAuBr at its relaxed geometry at the PBE-GGA level of DFT.

The space group is P1 (No. 1) and the conventional cell measures 3.271, 3.272 and 11.585 Å, with angles of 86.22, 86.79 and 60.11 degrees. The asymmetric unit holds V at (0.000, 0.000, 0.000), Cr at (0.348, 0.361, 0.854), Pb at (0.721, 0.761, 0.471), Au at (0.033, 0.058, 0.684) and Br at (0.317, 0.306, 0.154).

As for the energy above the most stable polymorph in this dataset: 0.432 eV/f.u.

Number 1: energy -7.529 eV/atom, density of states at the Fermi level 10.1 states/eV/cell, V 18.1 Å³/atom. Number 2: energy -5.066 eV/atom, density of states at the Fermi level 2.6 states/eV/cell, V 24.4 Å³/atom. Number 3: energy -4.912 eV/atom, density of states at the Fermi level 5.6 states/eV/cell, V 18.8 Å³/atom. Number 4: energy -5.363 eV/atom, density of states at the Fermi level 2.2 states/eV/cell, V 21.5 Å³/atom.